Compound: Rb3ThSe3
Source: the Alexandria database
Functional: PBE
Structure: relaxed

Cell and atoms, written as POSCAR:
```
Rb3ThSe3
1.0
4.8503 -7.3148 0.0000
4.8503 7.3148 0.0000
-1.1108 0.0000 8.5590
Rb Th Se
6 2 6
Direct
0.1762 0.8238 0.0000 Rb
0.2629 0.7371 0.5000 Rb
0.3787 0.3787 0.1489 Rb
0.6213 0.6213 0.8511 Rb
0.7371 0.2629 0.5000 Rb
0.8238 0.1762 0.0000 Rb
0.2073 0.2073 0.6295 Th
0.7927 0.7927 0.3705 Th
0.0768 0.0768 0.3054 Se
0.1535 0.4600 0.7909 Se
0.4600 0.1535 0.7909 Se
0.5400 0.8465 0.2091 Se
0.8465 0.5400 0.2091 Se
0.9232 0.9232 0.6946 Se
```

Summary:
As for the space-group type: No. 12. For the offset from the most stable computed form, the calculation gives 12.6 meV per atom. For the size of the total moment, the calculation gives 0.0 μB/cell. The calculation puts the uncorrected formation energy at -1.229 eV/atom. The value obtained for the density of states at the Fermi level is 0.1378 states/eV/atom.

Compound: RbTh3Se6
Source: the Alexandria database
Functional: PBE
Structure: relaxed

Cell and atoms, written as POSCAR:
```
RbTh3Se6
1.0
12.0941 0.0000 0.0000
0.0000 4.3768 0.0000
-4.0087 0.0000 11.9800
Rb Th Se
2 6 12
Direct
0.0838 0.2500 0.1950 Rb
0.9162 0.7500 0.8050 Rb
0.1679 0.2500 0.5727 Th
0.3179 0.7500 0.9949 Th
0.4950 0.7500 0.6663 Th
0.5050 0.2500 0.3337 Th
0.6821 0.2500 0.0051 Th
0.8321 0.7500 0.4273 Th
0.0703 0.7500 0.4107 Se
0.1538 0.2500 0.9482 Se
0.2527 0.7500 0.7274 Se
0.3332 0.7500 0.2371 Se
0.3748 0.2500 0.5032 Se
0.4803 0.2500 0.0951 Se
0.5197 0.7500 0.9049 Se
0.6252 0.7500 0.4968 Se
0.6668 0.2500 0.7629 Se
0.7473 0.2500 0.2726 Se
0.8462 0.7500 0.0518 Se
0.9297 0.2500 0.5893 Se
```

Summary:
As for the space-group type: No. 11. For the size of the total moment, the calculation gives 1.7 μB/cell. The calculation puts the uncorrected formation energy at -1.652 eV/atom. The value obtained for the density of states at the Fermi level is 0.3263 states/eV/atom.

Compound: Rb5ThSe4
Source: the Alexandria database
Functional: PBE
Structure: relaxed

Cell and atoms, written as POSCAR:
```
Rb5ThSe4
1.0
10.2625 -2.3113 0.0000
10.2625 2.3113 0.0000
-1.5404 0.0000 9.3485
Rb Th Se
5 1 4
Direct
0.0000 0.0000 0.0000 Rb
0.3227 0.3227 0.6544 Rb
0.3420 0.3420 0.1815 Rb
0.6580 0.6580 0.8185 Rb
0.6773 0.6773 0.3456 Rb
0.0000 0.0000 0.5000 Th
0.1420 0.1420 0.5698 Se
0.4930 0.4930 0.7076 Se
0.5070 0.5070 0.2924 Se
0.8580 0.8580 0.4302 Se
```

Summary:
As for the space-group type: No. 12. For the size of the total moment, the calculation gives 0.0 μB/cell. The calculation puts the uncorrected formation energy at -1.202 eV/atom. The value obtained for the density of states at the Fermi level is 0.2328 states/eV/atom.

Compound: RbThSe4
Source: the Alexandria database
Functional: PBE
Structure: relaxed

Cell and atoms, written as POSCAR:
```
RbThSe4
1.0
4.6028 -4.9542 0.0000
4.6028 4.9542 0.0000
0.0000 0.0000 7.9095
Rb Th Se
2 2 8
Direct
0.0000 0.0000 0.2500 Rb
0.0000 0.0000 0.7500 Rb
0.5000 0.5000 0.2500 Th
0.5000 0.5000 0.7500 Th
0.1576 0.6094 0.0000 Se
0.1850 0.4056 0.5000 Se
0.3906 0.8424 0.5000 Se
0.4056 0.1850 0.0000 Se
0.5944 0.8150 0.0000 Se
0.6094 0.1576 0.5000 Se
0.8150 0.5944 0.5000 Se
0.8424 0.3906 0.0000 Se
```

Summary:
As for the space-group type: No. 66. For the size of the total moment, the calculation gives 0.0 μB/cell. The calculation puts the uncorrected formation energy at -1.115 eV/atom. The value obtained for the density of states at the Fermi level is 0.7175 states/eV/atom.

Compound: Rb4ThSe4
Source: the Alexandria database
Functional: PBE
Structure: relaxed

Cell and atoms, written as POSCAR:
```
Rb4ThSe4
1.0
8.1508 -2.3019 0.0000
8.1508 2.3019 0.0000
-6.1153 0.0000 9.9303
Rb Th Se
4 1 4
Direct
0.1275 0.1275 0.4029 Rb
0.2965 0.2965 0.1716 Rb
0.7035 0.7035 0.8284 Rb
0.8725 0.8725 0.5971 Rb
0.5000 0.5000 0.0000 Th
0.0680 0.0680 0.9032 Se
0.3149 0.3149 0.7455 Se
0.6851 0.6851 0.2545 Se
0.9320 0.9320 0.0968 Se
```

Summary:
As for the space-group type: No. 12. For the size of the total moment, the calculation gives 0.0 μB/cell. The calculation puts the uncorrected formation energy at -1.350 eV/atom. The value obtained for the density of states at the Fermi level is 0.0000 states/eV/atom.

Compound: Rb5ThSe5
Source: the Alexandria database
Functional: PBE
Structure: relaxed

Cell and atoms, written as POSCAR:
```
Rb5ThSe5
1.0
7.9794 -3.2344 0.0000
7.9794 3.2344 0.0000
-3.0490 0.0000 8.9355
Rb Th Se
5 1 5
Direct
0.0000 0.0000 0.0000 Rb
0.3020 0.3020 0.1838 Rb
0.3216 0.3216 0.6466 Rb
0.6784 0.6784 0.3534 Rb
0.6980 0.6980 0.8162 Rb
0.0000 0.0000 0.5000 Th
0.1309 0.1309 0.3502 Se
0.1387 0.1387 0.7900 Se
0.5000 0.5000 0.5000 Se
0.8613 0.8613 0.2100 Se
0.8691 0.8691 0.6498 Se
```

Summary:
As for the space-group type: No. 12. For the size of the total moment, the calculation gives 1.2 μB/cell. The calculation puts the uncorrected formation energy at -1.211 eV/atom. The value obtained for the density of states at the Fermi level is 1.1399 states/eV/atom.

Compound: Rb4Th3Se8
Source: the Alexandria database
Functional: PBE
Structure: relaxed

Cell and atoms, written as POSCAR:
```
Rb4Th3Se8
1.0
4.4664 2.5787 8.5132
-4.4664 2.5787 8.5132
0.0000 -5.1574 8.5132
Rb Th Se
4 3 8
Direct
0.0000 0.0000 0.0000 Rb
0.1426 0.1426 0.1426 Rb
0.5000 0.5000 0.5000 Rb
0.8574 0.8574 0.8574 Rb
0.0000 0.5000 0.5000 Th
0.5000 0.0000 0.5000 Th
0.5000 0.5000 0.0000 Th
0.2478 0.2478 0.6924 Se
0.2478 0.6924 0.2478 Se
0.2735 0.2735 0.2735 Se
0.3076 0.7522 0.7522 Se
0.6924 0.2478 0.2478 Se
0.7265 0.7265 0.7265 Se
0.7522 0.3076 0.7522 Se
0.7522 0.7522 0.3076 Se
```

Summary:
As for the space-group type: No. 166. For the size of the total moment, the calculation gives 0.0 μB/cell. The calculation puts the uncorrected formation energy at -1.560 eV/atom. The value obtained for the density of states at the Fermi level is 0.0000 states/eV/atom.

Compound: RbTh2Se5
Source: the Alexandria database
Functional: PBE
Structure: relaxed

Cell and atoms, written as POSCAR:
```
RbTh2Se5
1.0
-2.2320 3.7078 7.6191
2.2320 -3.7078 7.6191
2.2320 3.7078 -7.6191
Rb Th Se
1 2 5
Direct
0.0000 0.0000 0.0000 Rb
0.3075 0.8075 0.5000 Th
0.6925 0.1925 0.5000 Th
0.0949 0.3463 0.7486 Se
0.4023 0.6537 0.7486 Se
0.5000 0.0000 0.5000 Se
0.5977 0.3463 0.2514 Se
0.9051 0.6537 0.2514 Se
```

Summary:
As for the space-group type: No. 71. For the size of the total moment, the calculation gives 1.0 μB/cell. The calculation puts the uncorrected formation energy at -1.523 eV/atom. The value obtained for the density of states at the Fermi level is 0.5805 states/eV/atom.

- Look up the size of the total moment of the eighth one.
  1.0 μB/cell

- What is the size of the total moment in the seventh record?
  0.0 μB/cell

- Which formula does entry 1 have?
  Rb3ThSe3

- Look up the size of the total moment of the seventh one.
  0.0 μB/cell